(1)
SmHo4Sc | GGA-PBE | optimized geometry

```
data_SmHo4Sc
_chemical_formula_sum 'Sm2 Ho8 Sc2'
_cell_length_a 11.224
_cell_length_b 3.426
_cell_length_c 11.222
_cell_angle_alpha 90.00
_cell_angle_beta 118.81
_cell_angle_gamma 90.00
_space_group_name_H-M_alt 'C 1 2/m 1'
_space_group_IT_number 12
loop_
_space_group_symop_operation_xyz
'x,y,z'
'-x,-y,-z'
'-x,y,-z'
'x,-y,z'
'x+1/2,y+1/2,z'
'-x+1/2,-y+1/2,-z'
'-x+1/2,y+1/2,-z'
'x+1/2,-y+1/2,z'
loop_
_atom_site_label
_atom_site_fract_x
_atom_site_fract_y
_atom_site_fract_z
Sm1 0.000 0.000 0.000
Ho1 0.153 0.500 0.838
Ho2 0.156 0.000 0.350
Sc1 0.000 0.500 0.500
```

Computed properties:
Electronic total energy = -4.69 eV per atom
Energy of formation from the pure elements = 200.8 meV/atom


(2)
YGaHg2Bi | GGA-PBE | optimized geometry

```
data_YGaHg2Bi
_chemical_formula_sum 'Y1 Ga1 Hg2 Bi1'
_cell_length_a 5.871
_cell_length_b 5.871
_cell_length_c 5.903
_cell_angle_alpha 90.00
_cell_angle_beta 90.00
_cell_angle_gamma 90.00
_space_group_name_H-M_alt 'P 4/m m m'
_space_group_IT_number 123
_space_group_name_Hall '-P 4 2'
loop_
_atom_site_label
_atom_site_fract_x
_atom_site_fract_y
_atom_site_fract_z
Y1 0.000 0.000 0.000
Ga1 0.500 0.500 0.500
Hg1 0.000 0.500 0.000
Bi1 0.000 0.000 0.500
```

Computed properties:
Electronic total energy = -2.50 eV per atom
Energy of formation from the pure elements = 292.8 meV/atom


(3)
SmDy4Er3 | GGA-PBE | optimized geometry

```
data_SmDy4Er3
_chemical_formula_sum 'Sm2 Dy8 Er6'
_cell_length_a 11.218
_cell_length_b 7.245
_cell_length_c 6.260
_cell_angle_alpha 90.00
_cell_angle_beta 90.00
_cell_angle_gamma 90.00
_space_group_name_H-M_alt 'P m n 21'
_space_group_IT_number 31
loop_
_space_group_symop_operation_xyz
'x,y,z'
'-x+1/2,-y,z+1/2'
'-x,y,z'
'x+1/2,-y,z+1/2'
loop_
_atom_site_label
_atom_site_fract_x
_atom_site_fract_y
_atom_site_fract_z
Sm1 0.000 0.125 0.000
Dy1 0.000 0.375 0.501
Dy2 0.000 0.625 0.998
Dy3 0.248 0.625 0.333
Er1 0.000 0.875 0.500
Er2 0.250 0.125 0.333
```

Computed properties:
Electronic total energy = -4.60 eV per atom
Energy relative to the lowest polymorph listed for this composition = 0 meV/atom
Energy of formation from the pure elements = 6.6 meV/atom


(4)
ZnInSn2 | GGA-PBE | optimized geometry

```
data_ZnInSn2
_chemical_formula_sum 'Zn3 In3 Sn6'
_cell_length_a 4.4503
_cell_length_b 4.4503
_cell_length_c 18.4918
_cell_angle_alpha 90.00
_cell_angle_beta 90.00
_cell_angle_gamma 120.00
_space_group_name_H-M_alt 'R 3 m'
_space_group_IT_number 160
_space_group_name_Hall 'R 3 -2"'
loop_
_atom_site_label
_atom_site_fract_x
_atom_site_fract_y
_atom_site_fract_z
Zn1 0.0000 0.0000 0.0000
In1 0.0000 0.0000 0.1659
Sn1 0.0000 0.0000 0.3985
Sn2 0.0000 0.0000 0.5974
```

Computed properties:
Electronic total energy = -2.91 eV per atom
Energy relative to the lowest polymorph listed for this composition = 11 meV/atom
Energy of formation from the pure elements = 96.6 meV/atom